No. 1
Computed, not measured: a relaxed GdTmSi4Os2 crystal at the PBE level of DFT. Values from VASP.

Output
The total magnetization comes out at 0.00 μB/atom. As for the total energy: -7.3830 eV per atom. The space group is Pm, No. 6.

Quantum ESPRESSO input file:
```
&SYSTEM
  ibrav = 0, nat = 8, ntyp = 4
/
ATOMIC_SPECIES
Gd 157.25 Gd.upf
Tm 168.93 Tm.upf
Si 28.09 Si.upf
Os 190.23 Os.upf
CELL_PARAMETERS angstrom
4.4180 0.0000 0.0000
0.0000 4.0880 0.0000
-1.6737 0.0000 7.9583
ATOMIC_POSITIONS angstrom
Gd 0.0000 0.0000 0.0000
Tm 2.6301 2.0440 4.7316
Si -0.1489 2.0440 2.3500
Si 0.4761 0.0000 5.6565
Si 0.5018 2.0440 7.0713
Si 2.8071 0.0000 2.4394
Os 0.6303 0.0000 3.3194
Os 2.0320 2.0440 1.4682
```

No. 2
Computed, not measured: a relaxed LiBeGeAu crystal at the PBE level of DFT. Values from VASP.

Output
The relative energy among the computed polymorphs is 51 meV/atom. The space group is F-43m, No. 216.

Quantum ESPRESSO input file:
```
&SYSTEM
  ibrav = 0, nat = 4, ntyp = 4
/
ATOMIC_SPECIES
Li 6.94 Li.upf
Be 9.01 Be.upf
Ge 72.64 Ge.upf
Au 196.97 Au.upf
CELL_PARAMETERS angstrom
0.0000 3.0454 3.0454
3.0454 0.0000 3.0454
3.0454 3.0454 0.0000
ATOMIC_POSITIONS angstrom
Li 0.0000 0.0000 0.0000
Be 4.5681 4.5681 4.5681
Ge 1.5227 1.5227 1.5227
Au 3.0454 3.0454 3.0454
```

No. 3
Computed, not measured: a relaxed AlTcNiMo crystal at the PBE level of DFT. Values from VASP.

Output
The total magnetization comes out at 0.19 μB/atom. The relative energy among the computed polymorphs is 0 meV/atom. The space group is F-43m, No. 216.

Quantum ESPRESSO input file:
```
&SYSTEM
  ibrav = 0, nat = 4, ntyp = 4
/
ATOMIC_SPECIES
Al 26.98 Al.upf
Tc 98.00 Tc.upf
Ni 58.69 Ni.upf
Mo 95.94 Mo.upf
CELL_PARAMETERS angstrom
0.0000 3.0293 3.0293
3.0293 0.0000 3.0293
3.0293 3.0293 0.0000
ATOMIC_POSITIONS angstrom
Al 0.0000 0.0000 0.0000
Tc 4.5440 4.5440 4.5440
Ni 1.5147 1.5147 1.5147
Mo 3.0293 3.0293 3.0293
```

No. 4
Computed, not measured: a relaxed Ho2Cu2SnGe crystal at the PBE level of DFT. Values from VASP.

Output
The total magnetization comes out at 0.00 μB/atom. As for the total energy: -4.8234 eV per atom. The space group is P3m1, No. 156.

Quantum ESPRESSO input file:
```
&SYSTEM
  ibrav = 0, nat = 6, ntyp = 4
/
ATOMIC_SPECIES
Ho 164.93 Ho.upf
Cu 63.55 Cu.upf
Sn 118.71 Sn.upf
Ge 72.64 Ge.upf
CELL_PARAMETERS angstrom
4.4065 0.0000 0.0000
-2.2033 3.8161 0.0000
0.0000 0.0000 7.1793
ATOMIC_POSITIONS angstrom
Ho 0.0000 0.0000 0.0000
Ho 0.0000 0.0000 3.4598
Cu 0.0000 2.5441 4.8091
Cu 2.2033 1.2720 1.3787
Sn 2.2033 1.2720 5.4711
Ge 0.0000 2.5441 1.9202
```